# 1
DFT (GGA-PBEsol) results for a relaxed structure of ReSiP2.

The structure in POSCAR format:
```
ReSiP2
1.0
1.519 -2.306 0.000
1.519 2.306 0.000
0.000 0.000 8.385
Re Si P
1 1 2
Cartesian
0.000 0.000 0.000
1.519 0.000 6.346
0.000 0.000 4.474
1.519 0.000 1.832
```

Values from the calculation:
* size of the total moment: 0.00 μB per cell
* calculated volume: 14.7 A^3/atom
* raw formation energy: 0.42 eV/atom
* VASP energy: -28.99 eV/f.u.
* symmetry: Cmm2, No. 35

---

# 2
DFT (GGA-PBEsol) results for a relaxed structure of Si2HgPt2.

The structure in POSCAR format:
```
Si2HgPt2
1.0
-1.892 1.892 5.804
1.892 -1.892 5.804
1.892 1.892 -5.804
Si Hg Pt
2 1 2
Cartesian
1.892 0.000 2.902
0.000 1.892 2.902
0.000 0.000 0.000
0.000 0.000 4.358
0.000 0.000 7.250
```

Values from the calculation:
* size of the total moment: 0.00 μB per cell
* calculated volume: 16.6 A^3/atom
* raw formation energy: -0.38 eV/atom
* VASP energy: -27.87 eV/f.u.
* symmetry: I4/mmm, No. 139

---

# 3
DFT (GGA-PBEsol) results for a relaxed structure of HfBOs2S.

The structure in POSCAR format:
```
HfBOs2S
1.0
3.985 0.000 0.000
0.000 3.985 0.000
0.000 0.000 4.666
Hf B Os S
1 1 2 1
Cartesian
0.000 0.000 0.000
0.000 0.000 2.333
0.000 1.992 2.333
1.992 0.000 2.333
1.992 1.992 0.000
```

Values from the calculation:
* size of the total moment: 0.01 μB per cell
* calculated volume: 14.8 A^3/atom
* raw formation energy: 0.28 eV/atom
* VASP energy: -44.92 eV/f.u.
* symmetry: P4/mmm, No. 123

---

# 4
DFT (GGA-PBEsol) results for a relaxed structure of ScCo2W.

The structure in POSCAR format:
```
ScCo2W
1.0
3.784 -1.362 0.000
3.784 1.362 0.000
-0.678 0.000 5.559
Sc Co W
1 2 1
Cartesian
0.000 0.000 0.000
1.433 0.000 3.973
5.457 0.000 1.586
3.445 0.000 2.779
```

Values from the calculation:
* size of the total moment: 0.00 μB per cell
* calculated volume: 14.3 A^3/atom
* energy relative to the lowest polymorph listed for this composition: 206 meV per atom
* ΔH_f (0 K): 0.222 eV per atom
* VASP energy: -35.00 eV/f.u.
* symmetry: C2/m, No. 12

---

# 5
DFT (GGA-PBEsol) results for a relaxed structure of YBe2W.

The structure in POSCAR format:
```
YBe2W
1.0
1.971 1.138 4.724
-1.971 1.138 4.724
0.000 -2.276 4.724
Y Be W
1 2 1
Cartesian
0.000 0.000 0.000
0.000 0.000 2.921
0.000 0.000 11.252
0.000 0.000 7.087
```

Values from the calculation:
* size of the total moment: 0.00 μB per cell
* calculated volume: 15.9 A^3/atom
* energy relative to the lowest polymorph listed for this composition: 0 meV per atom
* ΔH_f (0 K): 0.380 eV per atom
* VASP energy: -27.11 eV/f.u.
* symmetry: R-3m, No. 166

---

# 6
DFT (GGA-PBEsol) results for a relaxed structure of TaMn2Ni.

The structure in POSCAR format:
```
TaMn2Ni
1.0
-1.812 1.812 3.871
1.812 -1.812 3.871
1.812 1.812 -3.871
Ta Mn Ni
1 2 1
Cartesian
0.000 0.000 0.000
1.812 0.000 1.936
0.000 1.812 1.936
0.000 0.000 3.871
```

Values from the calculation:
* size of the total moment: 4.41 μB per cell
* calculated volume: 12.7 A^3/atom
* energy relative to the lowest polymorph listed for this composition: 41 meV per atom
* ΔH_f (0 K): 0.060 eV per atom
* VASP energy: -37.99 eV/f.u.
* symmetry: I4/mmm, No. 139

---

# 7
DFT (GGA-PBEsol) results for a relaxed structure of Ta2PbSe.

The structure in POSCAR format:
```
Ta2PbSe
1.0
-2.100 2.100 4.365
2.100 -2.100 4.365
2.100 2.100 -4.365
Ta Pb Se
2 1 1
Cartesian
0.000 0.000 0.000
0.000 2.100 2.182
0.000 0.000 4.365
2.100 0.000 2.182
```

Values from the calculation:
* size of the total moment: 0.00 μB per cell
* calculated volume: 19.2 A^3/atom
* raw formation energy: 0.53 eV/atom
* VASP energy: -30.84 eV/f.u.
* symmetry: I-4m2, No. 119

---

# 8
DFT (GGA-PBEsol) results for a relaxed structure of FeTc3Ir.

The structure in POSCAR format:
```
FeTc3Ir
1.0
4.601 0.000 0.000
0.000 4.601 0.000
0.000 0.000 4.601
Fe Tc Ir
1 3 1
Cartesian
0.000 0.000 0.000
0.000 2.301 2.301
2.301 0.000 2.301
2.301 2.301 0.000
2.301 2.301 2.301
```

Values from the calculation:
* size of the total moment: 3.99 μB per cell
* calculated volume: 19.5 A^3/atom
* ΔH_f (0 K): 2.160 eV per atom
* VASP energy: -41.79 eV/f.u.
* symmetry: Pm-3m, No. 221

---

# 9
DFT (GGA-PBEsol) results for a relaxed structure of AgSbW.

The structure in POSCAR format:
```
AgSbW
1.0
0.000 3.172 3.172
3.172 0.000 3.172
3.172 3.172 0.000
Ag Sb W
1 1 1
Cartesian
0.000 0.000 0.000
3.172 3.172 3.172
1.586 1.586 1.586
```

Values from the calculation:
* size of the total moment: 1.47 μB per cell
* calculated volume: 21.3 A^3/atom
* raw formation energy: 0.87 eV/atom
* VASP energy: -19.05 eV/f.u.
* symmetry: F-43m, No. 216

---

# 10
DFT (GGA-PBEsol) results for a relaxed structure of NaAg2Mo.

The structure in POSCAR format:
```
NaAg2Mo
1.0
0.000 3.290 3.290
3.290 0.000 3.290
3.290 3.290 0.000
Na Ag Mo
1 2 1
Cartesian
0.000 0.000 0.000
1.645 1.645 1.645
4.936 4.936 4.936
3.290 3.290 3.290
```

Values from the calculation:
* size of the total moment: 2.77 μB per cell
* calculated volume: 17.8 A^3/atom
* ΔH_f (0 K): 0.844 eV per atom
* VASP energy: -16.41 eV/f.u.
* symmetry: Fm-3m, No. 225

---

# 11
DFT (GGA-PBEsol) results for a relaxed structure of Mn2Re2Os.

The structure in POSCAR format:
```
Mn2Re2Os
1.0
-1.725 1.725 5.889
1.725 -1.725 5.889
1.725 1.725 -5.889
Mn Re Os
2 2 1
Cartesian
1.725 0.000 2.944
0.000 1.725 2.944
0.000 0.000 1.271
0.000 0.000 10.506
0.000 0.000 5.889
```

Values from the calculation:
* size of the total moment: 0.00 μB per cell
* calculated volume: 14.0 A^3/atom
* ΔH_f (0 K): 0.850 eV per atom
* VASP energy: -54.15 eV/f.u.
* symmetry: I4/mmm, No. 139

---

# 12
DFT (GGA-PBEsol) results for a relaxed structure of La2Cl.

The structure in POSCAR format:
```
La2Cl
1.0
-3.596 3.596 3.125
3.596 -3.596 3.125
3.596 3.596 -3.125
La Cl
4 2
Cartesian
4.729 1.133 0.000
1.133 2.463 0.000
2.463 1.133 3.125
-1.133 2.463 3.125
0.000 0.000 1.562
0.000 0.000 4.687
```

Values from the calculation:
* size of the total moment: 0.00 μB per cell
* calculated volume: 26.9 A^3/atom
* raw formation energy: -1.03 eV/atom
* energy relative to the lowest polymorph listed for this composition: 33 meV per atom
* VASP energy: -15.78 eV/f.u.
* symmetry: I4/mcm, No. 140